# As2Se

A relaxed As2Se crystal (PBEsol, Alexandria).

Cell: 4.547 4.547 4.547 Å, 60.00 60.00 60.00°
Element x y z (fractional)
Se (0.000, 0.000, 0.000)
As (0.250, 0.250, 0.250)
As (0.750, 0.750, 0.750)

Summary:
For the total moment, the calculation gives 0.0 μB/cell. As for the density of states at the Fermi level: 1.99 states/eV per cell. The calculated volume is 66 Å³/cell. The total energy comes out at -12.24 eV/cell. For the energy above the most stable polymorph in this dataset, the calculation gives 0.568 eV per atom. Its density is 5.7 g/cm³. The space group is Fm-3m.